# 1
The following is a PBE calculation of a geometry-optimized CaDyRh structure, from the Alexandria database.

Lattice parameters (Å, degrees): 3.747 9.311 10.801 78.57 99.99 90.00
Fractional positions:
Ca (0.098, 0.411, 0.196)
Ca (0.474, 0.206, 0.948)
Ca (0.526, 0.794, 0.052)
Ca (0.902, 0.589, 0.804)
Rh (0.298, 0.655, 0.596)
Rh (0.773, 0.872, 0.545)
Rh (0.702, 0.345, 0.404)
Rh (0.227, 0.128, 0.455)
Dy (0.298, 0.361, 0.596)
Dy (0.653, 0.044, 0.307)
Dy (0.702, 0.639, 0.404)
Dy (0.347, 0.956, 0.693)

**D(E_F)**: 2.45 states/eV/f.u.
**Energy of formation from the pure elements**: -295 meV/atom
**Excess energy over the best structure of this formula in the dataset**: 4.576 kcal/mol of atoms
**Space group**: C2/m (12)


# 2
The following is a PBE calculation of a geometry-optimized CsNpSeCl2 structure, from the Alexandria database.

Lattice parameters (Å, degrees): 4.261 9.914 8.228 90.00 90.00 102.41
Last column: magnetic moment on the atom in μB.
Fractional positions:
Cs (0.709, 0.419, 0.750)  0.00
Cs (0.291, 0.581, 0.250)  0.00
Np (0.000, 0.000, 0.000)  3.92
Np (0.000, 0.000, 0.500)  3.92
Se (0.507, 0.015, 0.750)  -0.10
Se (0.493, 0.985, 0.250)  -0.10
Cl (0.139, 0.278, 0.021)  -0.02
Cl (0.861, 0.722, 0.979)  -0.02
Cl (0.139, 0.278, 0.479)  -0.02
Cl (0.861, 0.722, 0.521)  -0.02

**D(E_F)**: 9.99 states/eV/f.u.
**E**: -57.8 eV/cell
**Space group**: Cmcm (63)


# 3
The following is a PBE calculation of a geometry-optimized Sr2NCl2 structure, from the Alexandria database.

Lattice parameters (Å, degrees): 7.446 7.446 4.463 90.00 90.00 90.00
Last column: magnetic moment on the atom in μB.
Fractional positions:
Sr (0.316, 0.816, 0.000)  -0.01
Sr (0.816, 0.684, 0.000)  -0.01
Sr (0.684, 0.184, 0.000)  -0.01
Sr (0.184, 0.316, 0.000)  -0.01
N (0.000, 0.000, 0.000)  0.58
N (0.500, 0.500, 0.000)  0.58
Cl (0.144, 0.644, 0.500)  0.01
Cl (0.644, 0.856, 0.500)  0.01
Cl (0.856, 0.356, 0.500)  0.01
Cl (0.356, 0.144, 0.500)  0.01

**D(E_F)**: 0.02 states/eV/f.u.
**E**: -42.9 eV/cell
**Space group**: P4/mbm (127)


# 4
The following is a PBE calculation of a geometry-optimized BaTa2AsN structure, from the Alexandria database.

Lattice parameters (Å, degrees): 4.740 6.351 4.740 90.00 90.00 90.00
Fractional positions:
As (0.000, 0.000, 0.000)
N (0.500, 0.500, 0.500)
Ba (0.000, 0.500, 0.000)
Ta (0.000, 0.000, 0.500)
Ta (0.500, 0.000, 0.000)

**D(E_F)**: 6.82 states/eV/f.u.
**E**: -30.3 eV/cell
**Space group**: P4/mmm (123)


# 5
The following is a PBE calculation of a geometry-optimized AlInSbIr2 structure, from the Alexandria database.

Lattice parameters (Å, degrees): 4.969 4.769 4.969 90.00 90.00 90.00
Fractional positions:
Sb (0.500, 0.500, 0.500)
Ir (0.000, 0.000, 0.500)
Ir (0.500, 0.000, 0.000)
Al (0.000, 0.500, 0.000)
In (0.000, 0.000, 0.000)

**D(E_F)**: 5.36 states/eV/f.u.
**E**: -21.4 eV/cell
**Space group**: P4/mmm (123)


# 6
The following is a PBE calculation of a geometry-optimized Pu2Tl3PbS6 structure, from the Alexandria database.

Lattice parameters (Å, degrees): 7.148 7.148 7.782 98.74 98.74 119.78
Last column: magnetic moment on the atom in μB.
Fractional positions:
Pu (0.333, 0.667, 0.000)  4.80
Pu (0.667, 0.333, 0.000)  4.80
Tl (0.161, 0.839, 0.500)  -0.01
Tl (0.839, 0.161, 0.500)  -0.01
Tl (0.500, 0.500, 0.500)  -0.01
Pb (0.000, 0.000, 0.000)  0.00
S (0.932, 0.571, 0.796)  -0.10
S (0.705, 0.705, 0.196)  -0.11
S (0.068, 0.429, 0.204)  -0.10
S (0.571, 0.932, 0.796)  -0.10
S (0.295, 0.295, 0.804)  -0.11
S (0.429, 0.068, 0.204)  -0.10

**D(E_F)**: 18.28 states/eV/f.u.
**E**: -76.0 eV/cell
**Space group**: C2/m (12)


# 7
The following is a PBE calculation of a geometry-optimized Dy3Mg2C structure, from the Alexandria database.

Lattice parameters (Å, degrees): 5.114 6.936 8.628 90.00 72.76 90.00
Fractional positions:
Dy (0.500, 0.250, 0.000)
Dy (0.500, 0.750, 0.000)
Dy (0.104, 0.000, 0.791)
Dy (0.896, 0.500, 0.209)
Dy (0.104, 0.500, 0.791)
Dy (0.896, 0.000, 0.209)
Mg (0.701, 0.750, 0.597)
Mg (0.702, 0.250, 0.597)
Mg (0.298, 0.750, 0.403)
Mg (0.299, 0.250, 0.403)
C (0.000, 0.750, 0.000)
C (0.000, 0.250, 0.000)

**D(E_F)**: 6.17 states/eV/f.u.
**Energy of formation from the pure elements**: -155 meV/atom
**Space group**: Cmmm (65)


# 8
The following is a PBE calculation of a geometry-optimized LaMnTc structure, from the Alexandria database.

Lattice parameters (Å, degrees): 4.558 4.558 4.558 60.00 60.00 60.00
Last column: magnetic moment on the atom in μB.
Fractional positions:
La (0.750, 0.750, 0.750)  0.05
Mn (0.000, 0.000, 0.000)  -3.44
Tc (0.500, 0.500, 0.500)  -1.13

**D(E_F)**: 2.96 states/eV/f.u.
**Energy of formation from the pure elements**: 1290 meV/atom
**Excess energy over the best structure of this formula in the dataset**: 27.652 kcal/mol of atoms
**Space group**: F-43m (216)


# 9
The following is a PBE calculation of a geometry-optimized Y2ErGa9 structure, from the Alexandria database.

Lattice parameters (Å, degrees): 4.271 4.271 12.808 90.00 90.00 90.00
Fractional positions:
Y (0.000, 0.000, 0.333)
Y (0.000, 0.000, 0.667)
Er (0.000, 0.000, 0.000)
Ga (0.500, 0.500, 0.000)
Ga (0.500, 0.500, 0.333)
Ga (0.500, 0.500, 0.667)
Ga (0.500, 0.000, 0.165)
Ga (0.500, 0.000, 0.500)
Ga (0.500, 0.000, 0.835)
Ga (0.000, 0.500, 0.165)
Ga (0.000, 0.500, 0.500)
Ga (0.000, 0.500, 0.835)

**D(E_F)**: 4.54 states/eV/f.u.
**Energy of formation from the pure elements**: -533 meV/atom
**Space group**: P4/mmm (123)


# 10
The following is a PBE calculation of a geometry-optimized YSc2Mo structure, from the Alexandria database.

Lattice parameters (Å, degrees): 4.841 3.151 6.218 75.31 90.00 90.00
Fractional positions:
Mo (0.500, 0.926, 0.774)
Sc (0.000, 0.819, 0.986)
Sc (0.500, 0.206, 0.213)
Y (0.000, 0.550, 0.526)

**D(E_F)**: 4.21 states/eV/f.u.
**Energy of formation from the pure elements**: 220 meV/atom
**Excess energy over the best structure of this formula in the dataset**: 1.772 kcal/mol of atoms
**Space group**: Amm2 (38)


Q: D(E_F) of number 3 (Sr2NCl2)?
A: 0.02 states/eV/f.u.


Q: Which of these has the highest D(E_F)?
A: Pu2Tl3PbS6


Q: D(E_F) of number 1 (CaDyRh)?
A: 2.45 states/eV/f.u.